Material: AsPSe2O
Method: DFT, PBE
State: optimized geometry

Theoretical density in Mg/m³: 5.28
Crystal system: tetragonal
Formation energy (no corrections) in eV per atom: 0.7036
E_tot in eV per atom: -3.69
E above lowest polymorph in kJ per mole of atoms: 0.00

Unit cell a=4.4613 b=4.4613 c=4.4243 alpha=90.00 beta=90.00 gamma=90.00
With the nearest neighbours (Å) after each atom.
Fractional positions:
As: 0.0000 0.0000 0.0000  2 O 2.21
P: 0.5000 0.5000 0.0000  8 Se 3.14, 4 As 3.15
Se: 0.0000 0.5000 0.5000  2 O 2.23
Se: 0.5000 0.0000 0.5000  2 O 2.23
O: 0.0000 0.0000 0.5000  2 As 2.21, 4 Se 2.23